An optimized crystal structure of Re2PO8, computed with PBE.

For the raw formation energy, the calculation gives -1.36 eV per atom.

The structure belongs to space group C2/m (No. 12); the cell edges are 9.585, 6.580 and 4.975 Å and the angles 90.00°, 92.46° and 90.00°. The inequivalent atoms are Re at (0.199, 0.000, 0.426), P at (0.000, 0.000, 0.000), O at (0.088, 0.174, 0.194), O at (0.130, 0.500, 0.651) and O at (0.150, 0.000, 0.772).

=====

An optimized crystal structure of NpH2Ru, computed with PBE.

The calculation puts the total energy at -83.74 eV/cell.

The structure belongs to space group R-3m (No. 166, hexagonal axes); the cell edges are 2.9508, 2.9508 and 17.8390 Å and the angles 90.00°, 90.00° and 120.00°. The inequivalent atoms are Np at (0.0000, 0.0000, 0.0000), H at (0.0000, 0.0000, 0.4065) and Ru at (0.0000, 0.0000, 0.5000).

=====

An optimized crystal structure of ScFeSi2, computed with PBE.

For the raw formation energy, the calculation gives -0.31 eV per atom.

The structure belongs to space group Pmmm (No. 47); the cell edges are 3.796, 3.847 and 3.881 Å and the angles 90.00°, 90.00° and 90.00°. The inequivalent atoms are Sc at (0.000, 0.000, 0.000), Fe at (0.500, 0.500, 0.000), Si at (0.000, 0.500, 0.500) and Si at (0.500, 0.000, 0.500).

=====

An optimized crystal structure of TbIn2Pd, computed with PBE.

Its formation energy is -0.622 eV/atom.

The structure belongs to space group Pnma (No. 62); the cell edges are 16.870, 7.503 and 5.716 Å and the angles 90.00°, 90.00° and 90.00°. The inequivalent atoms are Tb at (0.107, 0.250, 0.229), Tb at (0.144, 0.750, 0.468), In at (0.032, 0.047, 0.735), In at (0.216, 0.549, 0.968), Pd at (0.075, 0.750, 0.992) and Pd at (0.170, 0.250, 0.719).

=====

An optimized crystal structure of NbGeRh, computed with PBE.

Its formation energy is -0.564 eV/atom.

The structure belongs to space group P-6m2 (No. 187); the cell edges are 4.3198, 4.3198 and 2.9052 Å and the angles 90.00°, 90.00° and 120.00°. The inequivalent atoms are Nb at (0.0000, 0.0000, 0.0000), Ge at (0.6667, 0.3333, 0.5000) and Rh at (0.3333, 0.6667, 0.5000).

=====

An optimized crystal structure of CdAsPH, computed with PBE.

The calculation puts the total energy at -13.54 eV/cell.

The structure belongs to space group P1 (No. 1); the cell edges are 2.938, 4.550 and 6.588 Å and the angles 97.59°, 101.61° and 108.57°. The inequivalent atoms are Cd at (0.000, 0.000, 0.000), As at (0.596, 0.726, 0.557), P at (0.378, 0.594, 0.174) and H at (0.438, 0.377, 0.581).

=====

An optimized crystal structure of UFe2Si2Ni, computed with PBE.

For the raw formation energy, the calculation gives 0.14 eV per atom.

The structure belongs to space group P4/mmm (No. 123); the cell edges are 4.290, 4.290 and 5.068 Å and the angles 90.00°, 90.00° and 90.00°. The inequivalent atoms are U at (0.000, 0.000, 0.000), Fe at (0.500, 0.500, 0.237), Si at (0.000, 0.500, 0.500) and Ni at (0.000, 0.000, 0.500).

=====

An optimized crystal structure of Pm4CdCu2, computed with PBE.

Its formation energy is -0.006 eV/atom.

The structure belongs to space group R-3m (No. 166, hexagonal axes); the cell edges are 5.0327, 5.0327 and 26.7898 Å and the angles 90.00°, 90.00° and 120.00°. The inequivalent atoms are Pm at (0.0000, 0.0000, 0.1175), Pm at (0.0000, 0.0000, 0.2938), Cd at (0.0000, 0.0000, 0.5000) and Cu at (0.0000, 0.0000, 0.4014).

=====

| no. | calculated volume (Å³/atom) |
| --- | --- |
| 1 | 14.2 |
| 2 | 11.2 |
| 3 | 14.2 |
| 4 | 22.6 |
| 5 | 15.7 |
| 6 | 20.0 |
| 7 | 15.5 |
| 8 | 28.0 |